Below is a geometry-optimized NdDyGeRh structure, with properties calculated at the GGA-PBE level.

```
NdDyGeRh
1.0
4.176 0.000 0.000
0.000 4.196 0.000
-2.088 0.000 5.331
Ge Rh Dy Nd
1 1 1 1
Direct
0.571 0.500 0.142
0.420 0.000 0.840
0.864 0.500 0.729
0.145 0.000 0.290
```

Summary:
DOS at the Fermi energy, states/eV/f.u.: 3.54
ΔE to the lowest computed polymorph, eV/atom: 0.000